No. 1
DFT (PBE) results for a geometry-optimized Na2AgBiF8 structure.

abc: 3.9635 5.5143 8.1250
angles: 94.76 90.27 93.04
Fractional coordinates of all 12 atoms:
Na  0.0063  0.4924  0.2470
Na  0.9937  0.5076  0.7530
Ag  0.5000  0.0000  0.0000
Bi  0.5000  0.0000  0.5000
F  0.0031  0.7738  0.5412
F  0.1087  0.7614  0.0166
F  0.4470  0.1690  0.2258
F  0.4770  0.3032  0.7049
F  0.5230  0.6968  0.2951
F  0.5530  0.8310  0.7742
F  0.8913  0.2386  0.9834
F  0.9969  0.2262  0.4588

Magnetic moment (μB per cell): 0.00
Calculated total energy (eV per atom): -4.131
Space-group type: P-1

No. 2
DFT (PBE) results for a geometry-optimized NaAg2BiF8 structure.

abc: 4.1344 5.5989 7.9452
angles: 83.58 89.43 83.31
Fractional coordinates of all 12 atoms:
Na  0.0000  0.0000  0.0000
Ag  0.4884  0.4935  0.2354
Ag  0.5116  0.5065  0.7646
Bi  0.0000  0.0000  0.5000
F  0.0599  0.7570  0.7608
F  0.0677  0.7411  0.2912
F  0.4504  0.2553  0.9716
F  0.4513  0.2357  0.4649
F  0.5487  0.7643  0.5351
F  0.5496  0.7447  0.0284
F  0.9323  0.2589  0.7088
F  0.9401  0.2430  0.2392

Magnetic moment (μB per cell): 2.01
Calculated total energy (eV per atom): -3.980
Space-group type: P-1

No. 3
DFT (PBE) results for a geometry-optimized NbAg2BiF structure.

abc: 5.3285 5.3285 5.6384
angles: 90.00 90.00 90.00
Fractional coordinates of all 5 atoms:
Nb  0.0000  0.0000  0.0000
Ag  0.0000  0.5000  0.5000
Ag  0.5000  0.0000  0.5000
Bi  0.0000  0.0000  0.5000
F  0.5000  0.5000  0.0000

Magnetic moment (μB per cell): 3.00
Calculated total energy (eV per atom): -3.526
Space-group type: P4/mmm

Copy entry 2 word for word.
DFT (PBE) results for a geometry-optimized NaAg2BiF8 structure.

abc: 4.1344 5.5989 7.9452
angles: 83.58 89.43 83.31
Fractional coordinates of all 12 atoms:
Na  0.0000  0.0000  0.0000
Ag  0.4884  0.4935  0.2354
Ag  0.5116  0.5065  0.7646
Bi  0.0000  0.0000  0.5000
F  0.0599  0.7570  0.7608
F  0.0677  0.7411  0.2912
F  0.4504  0.2553  0.9716
F  0.4513  0.2357  0.4649
F  0.5487  0.7643  0.5351
F  0.5496  0.7447  0.0284
F  0.9323  0.2589  0.7088
F  0.9401  0.2430  0.2392

Magnetic moment (μB per cell): 2.01
Calculated total energy (eV per atom): -3.980
Space-group type: P-1

What did the second record say?
DFT (PBE) results for a geometry-optimized NaAg2BiF8 structure.

abc: 4.1344 5.5989 7.9452
angles: 83.58 89.43 83.31
Fractional coordinates of all 12 atoms:
Na  0.0000  0.0000  0.0000
Ag  0.4884  0.4935  0.2354
Ag  0.5116  0.5065  0.7646
Bi  0.0000  0.0000  0.5000
F  0.0599  0.7570  0.7608
F  0.0677  0.7411  0.2912
F  0.4504  0.2553  0.9716
F  0.4513  0.2357  0.4649
F  0.5487  0.7643  0.5351
F  0.5496  0.7447  0.0284
F  0.9323  0.2589  0.7088
F  0.9401  0.2430  0.2392

Magnetic moment (μB per cell): 2.01
Calculated total energy (eV per atom): -3.980
Space-group type: P-1

What is the formula in the first record? Na2AgBiF8